(1)
{"formula": "MgTcF2", "functional": "PBE-GGA", "state": "optimized geometry", "cell": [[2.792, 0.000, 0.000], [-1.396, 2.418, 0.000], [0.000, 0.000, 23.437]], "species": ["Mg", "Mg", "Mg", "Tc", "Tc", "Tc", "F", "F", "F", "F", "F", "F"], "fractional_positions": [[0.000, 0.000, 0.000], [0.333, 0.667, 0.667], [0.667, 0.333, 0.333], [0.000, 0.000, 0.500], [0.333, 0.667, 0.167], [0.667, 0.333, 0.833], [0.000, 0.000, 0.084], [0.000, 0.000, 0.916], [0.333, 0.667, 0.583], [0.333, 0.667, 0.750], [0.667, 0.333, 0.250], [0.667, 0.333, 0.417]], "spacegroup": "R-3m", "vol_a3_per_cell": 158, "m_tot_mub_per_atom": 0.000, "e_tot_ev_per_atom": -4.7816, "de_polymorph_ev_per_fu": 3.58}

---

(2)
{"formula": "MgTcF2", "functional": "PBE-GGA", "state": "optimized geometry", "cell": [[6.076, 0.000, 0.000], [0.000, 6.076, 0.000], [0.000, 0.000, 6.076]], "species": ["Mg", "Mg", "Mg", "Mg", "Tc", "Tc", "Tc", "Tc", "F", "F", "F", "F", "F", "F", "F", "F"], "fractional_positions": [[0.000, 0.000, 0.000], [0.000, 0.500, 0.500], [0.500, 0.000, 0.500], [0.500, 0.500, 0.000], [0.000, 0.000, 0.500], [0.000, 0.500, 0.000], [0.500, 0.000, 0.000], [0.500, 0.500, 0.500], [0.250, 0.250, 0.250], [0.250, 0.250, 0.750], [0.250, 0.750, 0.250], [0.250, 0.750, 0.750], [0.750, 0.250, 0.250], [0.750, 0.250, 0.750], [0.750, 0.750, 0.250], [0.750, 0.750, 0.750]], "spacegroup": "Fm-3m", "vol_a3_per_cell": 224, "m_tot_mub_per_atom": 0.890, "e_tot_ev_per_atom": -4.5489, "de_polymorph_ev_per_fu": 4.51}

---

(3)
{"formula": "MgTcF2", "functional": "PBE-GGA", "state": "optimized geometry", "cell": [[2.824, 0.000, 0.000], [-1.412, 2.445, 0.000], [0.000, 0.000, 28.036]], "species": ["Mg", "Mg", "Mg", "Tc", "Tc", "Tc", "F", "F", "F", "F", "F", "F"], "fractional_positions": [[0.000, 0.000, 0.000], [0.333, 0.667, 0.667], [0.667, 0.333, 0.333], [0.000, 0.000, 0.500], [0.333, 0.667, 0.167], [0.667, 0.333, 0.833], [0.000, 0.000, 0.371], [0.000, 0.000, 0.629], [0.333, 0.667, 0.037], [0.333, 0.667, 0.296], [0.667, 0.333, 0.704], [0.667, 0.333, 0.963]], "spacegroup": "R-3m", "vol_a3_per_cell": 194, "m_tot_mub_per_atom": 0.328, "e_tot_ev_per_atom": -5.6758, "de_polymorph_ev_per_fu": 0.00}